BaNa3Hg7 | PBE | relaxed

Cell: 3.8757 10.8611 16.6829 Å, 90.00 90.00 100.28°
Fractional coordinates of all 22 atoms:
Ba 0.9973 0.9946 0.2500
Ba 0.0027 0.0054 0.7500
Na 0.1199 0.2397 0.4966
Na 0.8801 0.7603 0.5034
Na 0.2195 0.4390 0.7500
Na 0.7805 0.5610 0.2500
Na 0.1199 0.2397 0.0034
Na 0.8801 0.7603 0.9966
Hg 0.3643 0.7286 0.7500
Hg 0.6357 0.2714 0.2500
Hg 0.5178 0.0356 0.4167
Hg 0.4822 0.9644 0.5833
Hg 0.4822 0.9644 0.9167
Hg 0.5178 0.0356 0.0833
Hg 0.3798 0.7596 0.3455
Hg 0.6202 0.2404 0.6545
Hg 0.2540 0.5081 0.4210
Hg 0.7460 0.4919 0.5790
Hg 0.7460 0.4919 0.9210
Hg 0.2540 0.5081 0.0790
Hg 0.3798 0.7596 0.1545
Hg 0.6202 0.2404 0.8455

Computed properties:
- space group = No. 63
- DOS(E_F) (states/eV/f.u.) = 5.76
- crystal system = orthorhombic
- energy of formation from the pure elements (kcal/mol of atoms) = -5.068
- V (Å³/cell) = 691.0